Record 1
The following is a GGA-PBE calculation of Na3Np2PtSe6 after structural relaxation, from Alexandria via LeMat-Bulk.

Cell: 6.9494 6.9494 7.4440 Å, 98.60 98.60 120.29°
Fractional coordinates of all 12 atoms:
Se 0.9202 0.5951 0.7682
Se 0.7637 0.7637 0.2136
Na 0.5000 0.5000 0.5000
Na 0.8347 0.1653 0.5000
Pt 0.0000 0.0000 0.0000
Se 0.0798 0.4049 0.2318
Np 0.6695 0.3305 0.0000
Se 0.4049 0.0798 0.2318
Se 0.2363 0.2363 0.7864
Np 0.3305 0.6695 0.0000
Se 0.5951 0.9202 0.7682
Na 0.1653 0.8347 0.5000

Calculated values
Formation energy from raw total energies ... -0.94 eV per atom
Fermi-level density of states ... 1.731 states/eV per atom
Calculated density ... 6.8 g/cm³

=====

Record 2
The following is a GGA-PBE calculation of TbTm2AgHg4 after structural relaxation, from Alexandria via LeMat-Bulk.

Cell: 5.0734 5.0734 9.0852 Å, 73.79 73.79 60.00°
Fractional coordinates of all 8 atoms:
Hg 0.8762 0.8762 0.3715
Tm 0.2419 0.2419 0.2742
Hg 0.6246 0.6246 0.1263
Hg 0.1238 0.1238 0.6285
Hg 0.3754 0.3754 0.8737
Tb 0.0000 0.0000 0.0000
Ag 0.5000 0.5000 0.5000
Tm 0.7581 0.7581 0.7258

Calculated values
ΔH_f (0 K) ... -0.3783 eV per atom
Fermi-level density of states ... 0.756 states/eV per atom
Calculated density ... 12.2 g/cm³

=====

Record 3
The following is a GGA-PBE calculation of SrPm5Tl4 after structural relaxation, from Alexandria via LeMat-Bulk.

Cell: 8.6663 7.7710 11.0468 Å, 90.00 90.00 90.00°
Fractional coordinates of all 20 atoms:
Pm 0.7136 0.7443 0.6995
Pm 0.1322 0.0000 0.5000
Pm 0.2864 0.2443 0.8005
Tl 0.4629 0.8018 0.5000
Tl 0.5371 0.3018 0.0000
Tl 0.0048 0.5000 0.2612
Pm 0.2864 0.7557 0.8005
Tl 0.9952 0.0000 0.7612
Tl 0.5371 0.6982 0.0000
Sr 0.2161 0.5000 0.5000
Pm 0.7136 0.7443 0.3005
Pm 0.2864 0.2443 0.1995
Tl 0.4629 0.1982 0.5000
Sr 0.7839 0.0000 0.0000
Pm 0.2864 0.7557 0.1995
Tl 0.9952 0.0000 0.2388
Tl 0.0048 0.5000 0.7388
Pm 0.7136 0.2557 0.3005
Pm 0.7136 0.2557 0.6995
Pm 0.8678 0.5000 0.0000

Calculated values
ΔH_f (0 K) ... 0.0113 eV per atom
Fermi-level density of states ... 1.010 states/eV per atom
Calculated density ... 7.3 g/cm³

=====

Record 4
The following is a GGA-PBE calculation of YPa2FeN5 after structural relaxation, from Alexandria via LeMat-Bulk.

Cell: 6.5496 6.5496 7.1707 Å, 117.17 117.17 90.00°
Fractional coordinates of all 18 atoms:
N 0.7918 0.9807 0.2725
Pa 0.6693 0.1693 0.0000
N 0.7082 0.2082 0.7275
Y 0.2500 0.2500 0.5000
Fe 0.7500 0.2500 0.5000
N 0.0000 0.0000 0.0000
Pa 0.3307 0.8307 0.0000
Pa 0.1693 0.3307 0.0000
N 0.2082 0.0193 0.7275
N 0.4807 0.2918 0.2725
N 0.5000 0.5000 0.0000
N 0.0193 0.5193 0.7275
Fe 0.2500 0.7500 0.5000
N 0.2918 0.7918 0.2725
Pa 0.8307 0.6693 0.0000
N 0.9807 0.4807 0.2725
Y 0.7500 0.7500 0.5000
N 0.5193 0.7082 0.7275

Calculated values
Formation energy from raw total energies ... -1.20 eV per atom
Fermi-level density of states ... 0.325 states/eV per atom
Calculated density ... 9.6 g/cm³

=====

Record 5
The following is a GGA-PBE calculation of NaSn4Pb7 after structural relaxation, from Alexandria via LeMat-Bulk.

Cell: 5.9952 9.3536 9.3147 Å, 78.30 90.03 46.66°
Fractional coordinates of all 12 atoms:
Pb 0.5000 0.0000 0.0000
Sn 0.3797 0.3799 0.7324
Sn 0.6203 0.6201 0.2676
Pb 0.5691 0.2146 0.4308
Sn 0.1188 0.1722 0.2742
Pb 0.0311 0.2489 0.6415
Pb 0.2689 0.4824 0.0739
Pb 0.7311 0.5176 0.9261
Na 0.0000 0.0000 0.0000
Pb 0.9689 0.7511 0.3585
Sn 0.8812 0.8278 0.7258
Pb 0.4309 0.7854 0.5692

Calculated values
ΔH_f (0 K) ... 0.0327 eV per atom
Fermi-level density of states ... 0.381 states/eV per atom
Calculated density ... 8.9 g/cm³

=====

Record 6
The following is a GGA-PBE calculation of Pr6CdHg2 after structural relaxation, from Alexandria via LeMat-Bulk.

Cell: 9.1117 9.1117 9.1117 Å, 107.76 111.44 109.23°
Fractional coordinates of all 18 atoms:
Hg 0.6481 0.0000 0.6481
Pr 0.8029 0.7471 0.5500
Pr 0.0903 0.2694 0.8209
Pr 0.2750 0.9491 0.6741
Pr 0.1971 0.2529 0.4500
Pr 0.9097 0.7306 0.1791
Cd 0.0000 0.0000 0.0000
Pr 0.7250 0.3990 0.6741
Pr 0.4485 0.2694 0.1791
Cd 0.0000 0.5000 0.5000
Hg 0.5000 0.3636 0.8636
Hg 0.5000 0.6364 0.1364
Pr 0.2750 0.6010 0.3259
Pr 0.8029 0.2529 0.0558
Pr 0.1971 0.7471 0.9442
Pr 0.7250 0.0509 0.3259
Pr 0.5515 0.7306 0.8209
Hg 0.3519 0.0000 0.3519

Calculated values
ΔH_f (0 K) ... -0.2233 eV per atom
Fermi-level density of states ... 1.346 states/eV per atom
Calculated density ... 7.8 g/cm³

=====

Record 7
The following is a GGA-PBE calculation of LiAuCl3 after structural relaxation, from Alexandria via LeMat-Bulk.

Cell: 5.0822 5.0822 5.0822 Å, 90.00 90.00 90.00°
Fractional coordinates of all 5 atoms:
Cl 0.0000 0.0000 0.5000
Au 0.0000 0.0000 0.0000
Cl 0.5000 0.0000 0.0000
Li 0.5000 0.5000 0.5000
Cl 0.0000 0.5000 0.0000

Calculated values
Formation energy from raw total energies ... -0.60 eV per atom
Fermi-level density of states ... 0.183 states/eV per atom
Calculated density ... 3.9 g/cm³

=====

Record 8
The following is a GGA-PBE calculation of MgHgAu5 after structural relaxation, from Alexandria via LeMat-Bulk.

Cell: 4.0088 4.0088 8.6947 Å, 90.00 90.00 90.00°
Fractional coordinates of all 7 atoms:
Au 0.5000 0.0000 0.2489
Hg 0.0000 0.0000 0.5000
Au 0.0000 0.0000 0.0000
Mg 0.5000 0.5000 0.0000
Au 0.5000 0.0000 0.7511
Au 0.0000 0.5000 0.7511
Au 0.0000 0.5000 0.2489

Calculated values
ΔH_f (0 K) ... -0.1858 eV per atom
Fermi-level density of states ... 0.274 states/eV per atom
Calculated density ... 14.4 g/cm³